Compound: Rb6OF4
Source: Alexandria via LeMat-Bulk
Functional: PBE
Structure: optimized geometry

Uncorrected energy in hartree per atom: -0.13842
Calculated volume in A^3/atom: 25.5
ΔE_f (raw) in eV per atom: -2.11

Cell: 11.7368 11.7368 14.0839 Å, 90.00 90.00 120.00°
Space group R-3c (No. 167, hexagonal axes)
Unique sites:
Rb (0.0382, 0.1965, 0.3903) [36 per cell]
O (0.0000, 0.0000, 0.0000) [6 per cell]
F (0.0000, 0.0000, 0.2500) [6 per cell]
F (0.0000, 0.3668, 0.2500) [18 per cell]

Compound: Rb2OF7
Source: Alexandria via LeMat-Bulk
Functional: PBE
Structure: optimized geometry

Uncorrected energy in hartree per atom: -0.11345
Calculated volume in A^3/atom: 16.3
ΔE_f (raw) in eV per atom: -1.09

Cell: 6.171 6.171 8.574 Å, 90.00 90.00 90.00°
Space group I4/mmm (No. 139)
Unique sites:
Rb (0.000, 0.500, 0.250) [4 per cell]
O (0.000, 0.000, 0.000) [2 per cell]
F (0.000, 0.000, 0.299) [4 per cell]
F (0.000, 0.000, 0.500) [2 per cell]
F (0.198, 0.198, 0.000) [8 per cell]